VASP calculation (GGA-PBE) on a relaxed structure of CaPuIr.

```
data_CaPuIr
_space_group_name_H-M_alt 'P 1 m 1'
_space_group_IT_number 6
_space_group_name_Hall 'P -2y'
_cell_length_a 6.1976
_cell_length_b 3.9878
_cell_length_c 6.8538
_cell_angle_alpha 90.00
_cell_angle_beta 90.08
_cell_angle_gamma 90.00
loop_
_atom_site_label
_atom_site_fract_x
_atom_site_fract_y
_atom_site_fract_z
Ca1 0.0000 0.0000 0.0000
Ca2 0.5001 0.5000 0.1334
Pu1 0.4995 0.0000 0.6451
Pu2 0.9994 0.0000 0.5008
Ir1 0.2234 0.5000 0.7463
Ir2 0.7760 0.5000 0.7462
```

Electronic total energy in eV per formula unit: -25.732
Calculated volume in Å³/cell: 169.4
E_form in eV/atom: -0.1790
Mass density in g cm⁻³: 9.338
Excess energy over the best structure of this formula in the dataset in meV/atom: 187


VASP calculation (GGA-PBE) on a relaxed structure of DyGa4IrPt2.

```
data_DyGa4IrPt2
_space_group_name_H-M_alt 'R -3 m'
_space_group_IT_number 166
_space_group_name_Hall '-R 3 2"'
_cell_length_a 4.2878
_cell_length_b 4.2878
_cell_length_c 25.9351
_cell_angle_alpha 90.00
_cell_angle_beta 90.00
_cell_angle_gamma 120.00
loop_
_atom_site_label
_atom_site_fract_x
_atom_site_fract_y
_atom_site_fract_z
Dy1 0.0000 0.0000 0.0000
Ga1 0.0000 0.0000 0.1328
Ga2 0.0000 0.0000 0.3969
Ir1 0.0000 0.0000 0.5000
Pt1 0.0000 0.0000 0.2404
```

Electronic total energy in eV per formula unit: -42.687
Calculated volume in Å³/cell: 412.9
E_form in eV/atom: -0.6293
Mass density in g cm⁻³: 12.351


VASP calculation (GGA-PBE) on a relaxed structure of KSr2Au.

```
data_KSr2Au
_space_group_name_H-M_alt 'C 1 2/m 1'
_space_group_IT_number 12
_space_group_name_Hall '-C 2y'
_cell_length_a 7.9195
_cell_length_b 4.5806
_cell_length_c 11.2365
_cell_angle_alpha 90.00
_cell_angle_beta 103.97
_cell_angle_gamma 90.00
loop_
_atom_site_label
_atom_site_fract_x
_atom_site_fract_y
_atom_site_fract_z
K1 0.0000 0.0000 0.0000
Sr1 0.2196 0.0000 0.6550
Au1 0.0000 0.5000 0.5000
```

Electronic total energy in eV per formula unit: -9.278
Calculated volume in Å³/cell: 395.6
E_form in eV/atom: -0.3850
Mass density in g cm⁻³: 3.453
Excess energy over the best structure of this formula in the dataset in meV/atom: 2


VASP calculation (GGA-PBE) on a relaxed structure of TlAuI5.

```
data_TlAuI5
_space_group_name_H-M_alt 'C 1 2/c 1'
_space_group_IT_number 15
_space_group_name_Hall '-C 2yc'
_cell_length_a 14.5767
_cell_length_b 7.6954
_cell_length_c 11.4394
_cell_angle_alpha 90.00
_cell_angle_beta 98.23
_cell_angle_gamma 90.00
loop_
_atom_site_label
_atom_site_fract_x
_atom_site_fract_y
_atom_site_fract_z
Tl1 0.0000 0.1040 0.2500
Au1 0.2500 0.2500 0.0000
I1 0.0000 0.3399 0.7500
I2 0.1285 0.4281 0.1232
I3 0.1580 0.0382 0.5335
```

Electronic total energy in eV per formula unit: -14.505
Calculated volume in Å³/cell: 1270.0
Formation energy without anion corrections in meV per atom: -159
Mass density in g cm⁻³: 5.418